Entry 1:
The following is a PBE calculation of a relaxed Ca3SnAs3 crystal, from Alexandria.

Output
As for the density of states at the Fermi level: 3.3 states/eV/f.u. The electronic total energy is -4.233 eV per atom. Its formation energy is -810 meV/atom. As for the magnetization: 0.00 μB/atom.

a = 8.952 Å, b = 8.952 Å, c = 5.922 Å
α = 90.00°, β = 90.00°, γ = 120.00°
Sites, in units of the cell vectors:
Ca 0.069 0.692 0.250
Ca 0.308 0.377 0.250
Ca 0.377 0.069 0.750
Ca 0.623 0.931 0.250
Ca 0.692 0.623 0.750
Ca 0.931 0.308 0.750
Sn 0.333 0.667 0.750
Sn 0.667 0.333 0.250
As 0.068 0.710 0.750
As 0.290 0.358 0.750
As 0.358 0.068 0.250
As 0.642 0.932 0.750
As 0.710 0.642 0.250
As 0.932 0.290 0.250


Entry 2:
The following is a PBE calculation of a relaxed TbSmCdAu crystal, from Alexandria.

Output
As for the density of states at the Fermi level: 2.7 states/eV/f.u. The electronic total energy is -3.924 eV per atom. Its formation energy is -538 meV/atom. The energy above the most stable polymorph in this dataset is 32 meV per atom. As for the magnetization: 0.00 μB/atom.

a = 5.247 Å, b = 5.247 Å, c = 5.247 Å
α = 60.00°, β = 60.00°, γ = 60.00°
Sites, in units of the cell vectors:
Tb 0.000 0.000 0.000
Sm 0.500 0.500 0.500
Cd 0.250 0.250 0.250
Au 0.750 0.750 0.750


Entry 3:
The following is a PBE calculation of a relaxed SnSbTe2Ru crystal, from Alexandria.

Output
As for the density of states at the Fermi level: 6.4 states/eV/f.u. The electronic total energy is -3.344 eV per atom. The energy above the most stable polymorph in this dataset is 1020 meV per atom. As for the magnetization: 0.53 μB/atom.

a = 5.637 Å, b = 5.637 Å, c = 5.588 Å
α = 90.00°, β = 90.00°, γ = 90.00°
Sites, in units of the cell vectors:
Sn 0.000 0.000 0.000
Sb 0.000 0.000 0.500
Te 0.000 0.500 0.000
Te 0.500 0.000 0.000
Ru 0.500 0.500 0.500


Entry 4:
The following is a PBE calculation of a relaxed ZrGaBr5 crystal, from Alexandria.

Output
As for the density of states at the Fermi level: 0.0 states/eV/f.u. The electronic total energy is -3.960 eV per atom. As for the magnetization: 0.00 μB/atom.

a = 8.923 Å, b = 8.923 Å, c = 10.185 Å
α = 109.56°, β = 109.56°, γ = 52.52°
Sites, in units of the cell vectors:
Zr 0.000 0.000 0.000
Zr 0.000 0.000 0.500
Ga 0.403 0.597 0.750
Ga 0.597 0.403 0.250
Br 0.097 0.656 0.862
Br 0.098 0.656 0.493
Br 0.136 0.864 0.250
Br 0.344 0.902 0.007
Br 0.344 0.903 0.638
Br 0.656 0.097 0.362
Br 0.656 0.098 0.993
Br 0.864 0.136 0.750
Br 0.902 0.344 0.507
Br 0.903 0.344 0.138


Entry 5:
The following is a PBE calculation of a relaxed MnBeCo crystal, from Alexandria.

Output
As for the density of states at the Fermi level: 2.5 states/eV/f.u. The electronic total energy is -6.814 eV per atom. Its formation energy is -147 meV/atom. The energy above the most stable polymorph in this dataset is 12 meV per atom. As for the magnetization: 0.00 μB/atom.

a = 5.885 Å, b = 5.885 Å, c = 3.695 Å
α = 90.00°, β = 90.00°, γ = 153.55°
Sites, in units of the cell vectors:
Mn 0.246 0.754 0.750
Mn 0.754 0.246 0.250
Be 0.424 0.576 0.250
Be 0.576 0.424 0.750
Co 0.084 0.916 0.250
Co 0.916 0.084 0.750


Entry 6:
The following is a PBE calculation of a relaxed Fe3RePt crystal, from Alexandria.

Output
As for the density of states at the Fermi level: 15.3 states/eV/f.u. The electronic total energy is -6.510 eV per atom. Its formation energy is 2265 meV/atom. The energy above the most stable polymorph in this dataset is 787 meV per atom. As for the magnetization: 0.39 μB/atom.

a = 4.416 Å, b = 4.416 Å, c = 4.416 Å
α = 90.00°, β = 90.00°, γ = 90.00°
Sites, in units of the cell vectors:
Fe 0.000 0.000 0.500
Fe 0.000 0.500 0.000
Fe 0.500 0.000 0.000
Re 0.500 0.500 0.500
Pt 0.000 0.000 0.000


Entry 7:
The following is a PBE calculation of a relaxed Ba2TlI crystal, from Alexandria.

Output
As for the density of states at the Fermi level: 3.7 states/eV/f.u. The electronic total energy is -2.616 eV per atom. The energy above the most stable polymorph in this dataset is 180 meV per atom. As for the magnetization: 0.50 μB/atom.

a = 6.206 Å, b = 6.206 Å, c = 6.206 Å
α = 60.00°, β = 60.00°, γ = 60.00°
Sites, in units of the cell vectors:
Ba 0.250 0.250 0.250
Ba 0.750 0.750 0.750
Tl 0.000 0.000 0.000
I 0.500 0.500 0.500


Entry 8:
The following is a PBE calculation of a relaxed HoPuGaCo crystal, from Alexandria.

Output
As for the density of states at the Fermi level: 6.4 states/eV/f.u. The electronic total energy is -7.432 eV per atom. Its formation energy is -172 meV/atom. As for the magnetization: 1.06 μB/atom.

a = 4.893 Å, b = 4.893 Å, c = 4.893 Å
α = 60.00°, β = 60.00°, γ = 60.00°
Sites, in units of the cell vectors:
Ho 0.000 0.000 0.000
Pu 0.500 0.500 0.500
Ga 0.250 0.250 0.250
Co 0.750 0.750 0.750


Entry 9:
The following is a PBE calculation of a relaxed Cd2SbAu crystal, from Alexandria.

Output
As for the density of states at the Fermi level: 0.0 states/eV/f.u. The electronic total energy is -2.167 eV per atom. As for the magnetization: 0.00 μB/atom.

a = 8.385 Å, b = 8.385 Å, c = 8.385 Å
α = 137.63°, β = 137.63°, γ = 61.47°
Sites, in units of the cell vectors:
Cd 0.124 0.625 0.999
Cd 0.375 0.374 0.499
Cd 0.626 0.125 0.001
Cd 0.875 0.876 0.501
Sb 0.000 0.000 0.000
Sb 0.750 0.250 0.500
Au 0.250 0.750 0.500
Au 0.500 0.500 0.000


Entry 10:
The following is a PBE calculation of a relaxed As2Rh2O7 crystal, from Alexandria.

Output
As for the density of states at the Fermi level: 5.8 states/eV/f.u. The electronic total energy is -6.108 eV per atom. As for the magnetization: 0.00 μB/atom.

a = 5.194 Å, b = 5.194 Å, c = 6.311 Å
α = 91.23°, β = 91.23°, γ = 111.25°
Sites, in units of the cell vectors:
As 0.244 0.244 0.145
As 0.756 0.756 0.855
Rh 0.173 0.827 0.500
Rh 0.827 0.173 0.500
O 0.112 0.112 0.676
O 0.113 0.452 0.317
O 0.452 0.113 0.317
O 0.500 0.500 0.000
O 0.548 0.887 0.683
O 0.887 0.548 0.683
O 0.888 0.888 0.324


Entry 11:
The following is a PBE calculation of a relaxed Er2AlGa4 crystal, from Alexandria.

Output
As for the density of states at the Fermi level: 3.9 states/eV/f.u. The electronic total energy is -3.975 eV per atom. Its formation energy is -407 meV/atom. The energy above the most stable polymorph in this dataset is 0 meV per atom. As for the magnetization: 0.00 μB/atom.

a = 5.932 Å, b = 5.932 Å, c = 4.167 Å
α = 90.00°, β = 90.00°, γ = 94.52°
Sites, in units of the cell vectors:
Er 0.232 0.232 0.000
Er 0.768 0.768 0.000
Al 0.500 0.500 0.500
Ga 0.000 0.500 0.500
Ga 0.259 0.741 0.000
Ga 0.500 0.000 0.500
Ga 0.741 0.259 0.000


Entry 12:
The following is a PBE calculation of a relaxed KRb2SiAu crystal, from Alexandria.

Output
As for the density of states at the Fermi level: 3.1 states/eV/f.u. The electronic total energy is -2.321 eV per atom. As for the magnetization: 0.00 μB/atom.

a = 6.974 Å, b = 6.974 Å, c = 4.703 Å
α = 90.00°, β = 90.00°, γ = 90.00°
Sites, in units of the cell vectors:
K 0.000 0.000 0.000
Rb 0.000 0.500 0.500
Rb 0.500 0.000 0.500
Si 0.500 0.500 0.000
Au 0.500 0.500 0.500


- Number 3 is which compound?
  SnSbTe2Ru


- Among the records above, which one has the highest magnetization?
  HoPuGaCo


- Which of these has the highest magnetization?
  HoPuGaCo